No. 1
! Na2AgBS4, relaxed, DFT PBE; values from VASP
! ρ (g/cm3): 3.13
! Energy relative to the elements, uncorrected (meV per atom): -440
&SYSTEM
  ibrav = 0, nat = 8, ntyp = 4
/
ATOMIC_SPECIES
Ag 107.87 Ag.upf
S 32.06 S.upf
Na 22.99 Na.upf
B 10.81 B.upf
CELL_PARAMETERS angstrom
6.467 0.000 0.000
3.234 4.904 0.000
3.234 0.000 4.904
ATOMIC_POSITIONS crystal
Ag 0.000 0.000 0.000
S 0.466 0.694 0.000
S 0.534 0.000 0.306
S 0.161 0.306 0.000
S 0.839 0.000 0.694
Na 0.000 0.500 0.500
Na 0.500 0.500 0.500
B 0.500 0.000 0.000

***

No. 2
! La3NdCdCo, relaxed, DFT PBE; values from VASP
! ρ (g/cm3): 6.78
! E_form (eV per atom): -0.14
&SYSTEM
  ibrav = 0, nat = 12, ntyp = 4
/
ATOMIC_SPECIES
Cd 112.41 Cd.upf
Co 58.93 Co.upf
Nd 144.24 Nd.upf
La 138.91 La.upf
CELL_PARAMETERS angstrom
-5.051 -7.331 2.858
-3.143 -7.782 -4.121
5.834 -0.873 1.651
ATOMIC_POSITIONS crystal
Cd 0.691 0.691 0.690
Cd 0.309 0.309 0.310
Co 0.969 0.969 0.153
Co 0.031 0.031 0.847
Nd 0.740 0.260 0.500
Nd 0.260 0.740 0.500
La 0.374 0.861 0.118
La 0.808 0.808 0.293
La 0.626 0.139 0.882
La 0.192 0.192 0.707
La 0.139 0.626 0.882
La 0.861 0.374 0.118

***

No. 3
! Tl6InAu3, relaxed, DFT PBE; values from VASP
! ρ (g/cm3): 11.18
! E_form (eV per atom): -0.01
&SYSTEM
  ibrav = 0, nat = 20, ntyp = 3
/
ATOMIC_SPECIES
Tl 204.38 Tl.upf
Au 196.97 Au.upf
In 114.82 In.upf
CELL_PARAMETERS angstrom
5.337 0.000 0.000
0.000 9.224 -2.558
0.000 -0.191 11.713
ATOMIC_POSITIONS crystal
Tl 0.750 0.975 0.183
Tl 0.250 0.862 0.518
Tl 0.250 0.025 0.817
Tl 0.750 0.138 0.482
Tl 0.250 0.209 0.139
Tl 0.750 0.553 0.577
Tl 0.250 0.447 0.423
Tl 0.250 0.316 0.666
Tl 0.750 0.791 0.861
Tl 0.750 0.433 0.062
Tl 0.250 0.567 0.938
Tl 0.750 0.684 0.334
Au 0.750 0.878 0.624
Au 0.250 0.885 0.005
Au 0.750 0.115 0.995
Au 0.750 0.472 0.805
Au 0.250 0.528 0.195
Au 0.250 0.122 0.376
In 0.250 0.827 0.229
In 0.750 0.173 0.771